Li2Ca2WO6 | Alexandria via LeMat-Bulk | PBE with a Hubbard U | relaxed; N(E_F) = 0.0000 states/eV per atom; total DFT energy (no corrections) = -6.456 eV per atom; calculated volume = 125.6 Å³/cell; magnetization = 0.0 μB/cell
1.0
5.243 0.000 0.000
-2.622 4.541 0.000
0.000 0.000 5.276
Li Ca W O
2 2 1 6
direct
0.333 0.667 0.000 Li
0.667 0.333 0.000 Li
0.333 0.667 0.500 Ca
0.667 0.333 0.500 Ca
0.000 0.000 0.000 W
0.000 0.310 0.787 O
0.000 0.690 0.213 O
0.310 0.000 0.787 O
0.310 0.310 0.213 O
0.690 0.000 0.213 O
0.690 0.690 0.787 O